First-principles (GGA+U) data for a relaxed structure of TcNiO2F, as listed in Alexandria.

```
TcNiO2F
1.0
3.883 0.000 0.000
0.000 3.883 0.000
0.000 0.000 3.769
Ni O F Tc
1 2 1 1
Cartesian
0.000 0.000 0.000
0.000 1.941 0.000
1.941 0.000 0.000
0.000 0.000 1.884
1.941 1.941 1.884
```

Computed properties:
Calculated total energy in eV/f.u.: -26.65
D(E_F) in states/eV per atom: 0.541
Crystal system: tetragonal